This record from Alexandria via LeMat-Bulk describes a geometry-optimized RbNi3H structure. The functional is PBE.

Cell lengths 4.8607, 4.8607, 4.8607 Å; angles 90.00, 90.00, 90.00 degrees
Closest atoms and distances in Å follow each position.
Atoms (fractional coordinates):
1 Rb 0.0000 0.0000 0.0000  6 Ni 2.43
2 Ni 0.0000 0.0000 0.5000  2 Rb 2.43
3 Ni 0.0000 0.5000 0.0000  2 Rb 2.43
4 Ni 0.5000 0.0000 0.0000  2 Rb 2.43
5 H 0.5000 0.5000 0.5000  12 Ni 3.44

Values from the calculation:
excess energy over the best structure of this formula in the dataset: 8.78 eV per formula unit
calculated total energy: -1.67 eV per atom
SG: No. 221
D(E_F): 1.705 states/eV/atom

This record from Alexandria via LeMat-Bulk describes a geometry-optimized Rb3NiH4 structure. The functional is PBE.

Cell lengths 6.2856, 6.2856, 6.2856 Å; angles 120.94, 85.37, 124.52 degrees
Closest atoms and distances in Å follow each position.
Atoms (fractional coordinates):
1 Rb 0.0000 0.0000 0.0000  4 H 2.88-3.05
2 Rb 0.2599 0.5145 0.7454  6 H 2.89-3.20
3 Rb 0.7691 0.5145 0.2546  6 H 2.89-3.20
4 Ni 0.4780 0.9780 0.5000  4 H 1.57-1.59
5 H 0.3512 0.0211 0.3301  1 Ni 1.59
6 H 0.4132 0.1599 0.7467  1 Ni 1.57
7 H 0.4132 0.6665 0.2533  1 Ni 1.57
8 H 0.6909 0.0211 0.6699  1 Ni 1.59

Values from the calculation:
calculated total energy: -2.81 eV per atom
SG: No. 44
D(E_F): 0.359 states/eV/atom

Q: Which formula does entry 1 have?
A: RbNi3H

Repeat the second record exactly.
This record from Alexandria via LeMat-Bulk describes a geometry-optimized Rb3NiH4 structure. The functional is PBE.

Cell lengths 6.2856, 6.2856, 6.2856 Å; angles 120.94, 85.37, 124.52 degrees
Closest atoms and distances in Å follow each position.
Atoms (fractional coordinates):
1 Rb 0.0000 0.0000 0.0000  4 H 2.88-3.05
2 Rb 0.2599 0.5145 0.7454  6 H 2.89-3.20
3 Rb 0.7691 0.5145 0.2546  6 H 2.89-3.20
4 Ni 0.4780 0.9780 0.5000  4 H 1.57-1.59
5 H 0.3512 0.0211 0.3301  1 Ni 1.59
6 H 0.4132 0.1599 0.7467  1 Ni 1.57
7 H 0.4132 0.6665 0.2533  1 Ni 1.57
8 H 0.6909 0.0211 0.6699  1 Ni 1.59

Values from the calculation:
calculated total energy: -2.81 eV per atom
SG: No. 44
D(E_F): 0.359 states/eV/atom